# 1
DFT (meta-GGA SCAN) results for a PBEsol-optimized structure of Rb3MnO3. Values from VASP.

SG = P2_1/c
Crystal system = monoclinic

```
&SYSTEM
  ibrav = 0, nat = 28, ntyp = 3
/
ATOMIC_SPECIES
Rb 85.47 Rb.upf
Mn 54.94 Mn.upf
O 16.00 O.upf
CELL_PARAMETERS angstrom
6.823 0.000 0.000
0.000 11.802 0.000
-0.993 0.000 6.907
ATOMIC_POSITIONS crystal
Rb 0.011 0.225 0.078
Rb 0.011 0.275 0.578
Rb 0.341 0.510 0.644
Rb 0.341 0.990 0.144
Rb 0.473 0.209 0.494
Rb 0.473 0.291 0.994
Rb 0.527 0.709 0.006
Rb 0.527 0.791 0.506
Rb 0.659 0.010 0.856
Rb 0.659 0.490 0.356
Rb 0.989 0.725 0.422
Rb 0.989 0.775 0.922
Mn 0.159 0.503 0.157
Mn 0.159 0.997 0.657
Mn 0.841 0.003 0.343
Mn 0.841 0.497 0.843
O 0.097 0.074 0.410
O 0.097 0.426 0.910
O 0.275 0.117 0.799
O 0.275 0.383 0.299
O 0.301 0.622 0.276
O 0.301 0.878 0.776
O 0.699 0.122 0.224
O 0.699 0.378 0.724
O 0.725 0.617 0.701
O 0.725 0.883 0.201
O 0.903 0.574 0.090
O 0.903 0.926 0.590
```

# 2
DFT (meta-GGA SCAN) results for a PBEsol-optimized structure of RbMn4O8. Values from VASP.

SG = C2/m
Crystal system = monoclinic

```
&SYSTEM
  ibrav = 0, nat = 13, ntyp = 3
/
ATOMIC_SPECIES
Rb 85.47 Rb.upf
Mn 54.94 Mn.upf
O 16.00 O.upf
CELL_PARAMETERS angstrom
6.869 -1.436 0.000
6.869 1.436 0.000
-6.834 0.000 6.892
ATOMIC_POSITIONS crystal
Rb 0.000 0.000 0.000
Mn 0.151 0.151 0.484
Mn 0.334 0.334 0.182
Mn 0.666 0.666 0.818
Mn 0.849 0.849 0.516
O 0.041 0.041 0.711
O 0.298 0.298 0.952
O 0.334 0.334 0.376
O 0.345 0.345 0.644
O 0.655 0.655 0.356
O 0.666 0.666 0.624
O 0.702 0.702 0.048
O 0.959 0.959 0.289
```

# 3
DFT (meta-GGA SCAN) results for a PBEsol-optimized structure of Rb3MnO. Values from VASP.

SG = Pm-3m
Crystal system = cubic

```
&SYSTEM
  ibrav = 0, nat = 5, ntyp = 3
/
ATOMIC_SPECIES
Rb 85.47 Rb.upf
Mn 54.94 Mn.upf
O 16.00 O.upf
CELL_PARAMETERS angstrom
6.172 0.000 0.000
0.000 6.172 0.000
0.000 0.000 6.172
ATOMIC_POSITIONS crystal
Rb 0.000 0.000 0.500
Rb 0.000 0.500 0.000
Rb 0.500 0.000 0.000
Mn 0.000 0.000 0.000
O 0.500 0.500 0.500
```

# 4
DFT (meta-GGA SCAN) results for a PBEsol-optimized structure of RbMn3O. Values from VASP.

SG = Pm-3m
Crystal system = cubic

```
&SYSTEM
  ibrav = 0, nat = 5, ntyp = 3
/
ATOMIC_SPECIES
Rb 85.47 Rb.upf
Mn 54.94 Mn.upf
O 16.00 O.upf
CELL_PARAMETERS angstrom
4.383 0.000 0.000
0.000 4.383 0.000
0.000 0.000 4.383
ATOMIC_POSITIONS crystal
Rb 0.000 0.000 0.000
Mn 0.000 0.500 0.500
Mn 0.500 0.000 0.500
Mn 0.500 0.500 0.000
O 0.500 0.500 0.500
```

# 5
DFT (meta-GGA SCAN) results for a PBEsol-optimized structure of MnRe2O8. Values from VASP.

SG = P-3m1
Crystal system = trigonal

```
&SYSTEM
  ibrav = 0, nat = 11, ntyp = 3
/
ATOMIC_SPECIES
Mn 54.94 Mn.upf
Re 186.21 Re.upf
O 16.00 O.upf
CELL_PARAMETERS angstrom
5.779 0.000 0.000
-2.890 5.005 0.000
0.000 0.000 6.439
ATOMIC_POSITIONS crystal
Mn 0.000 0.000 0.000
Re 0.333 0.667 0.278
Re 0.667 0.333 0.722
O 0.168 0.337 0.187
O 0.168 0.832 0.187
O 0.333 0.667 0.546
O 0.337 0.168 0.813
O 0.663 0.832 0.187
O 0.667 0.333 0.454
O 0.832 0.168 0.813
O 0.832 0.663 0.813
```

# 6
DFT (meta-GGA SCAN) results for a PBEsol-optimized structure of Mn3ReO6. Values from VASP.

SG = P2_1/c
Crystal system = monoclinic

```
&SYSTEM
  ibrav = 0, nat = 20, ntyp = 3
/
ATOMIC_SPECIES
Mn 54.94 Mn.upf
Re 186.21 Re.upf
O 16.00 O.upf
CELL_PARAMETERS angstrom
5.103 0.000 0.000
0.000 5.236 0.000
-5.057 0.000 7.427
ATOMIC_POSITIONS crystal
Mn 0.000 0.000 0.000
Mn 0.000 0.500 0.500
Mn 0.264 0.051 0.755
Mn 0.264 0.449 0.255
Mn 0.736 0.551 0.745
Mn 0.736 0.949 0.245
Re 0.500 0.000 0.500
Re 0.500 0.500 0.000
O 0.122 0.060 0.247
O 0.122 0.440 0.747
O 0.241 0.692 0.066
O 0.241 0.808 0.566
O 0.374 0.182 0.061
O 0.374 0.318 0.561
O 0.626 0.682 0.439
O 0.626 0.818 0.939
O 0.759 0.192 0.434
O 0.759 0.308 0.934
O 0.878 0.560 0.253
O 0.878 0.940 0.753
```

# 7
DFT (meta-GGA SCAN) results for a PBEsol-optimized structure of MnReO2. Values from VASP.

SG = Fm-3m
Crystal system = cubic

```
&SYSTEM
  ibrav = 0, nat = 16, ntyp = 3
/
ATOMIC_SPECIES
Mn 54.94 Mn.upf
Re 186.21 Re.upf
O 16.00 O.upf
CELL_PARAMETERS angstrom
5.376 0.000 0.000
0.000 5.376 0.000
0.000 0.000 5.376
ATOMIC_POSITIONS crystal
Mn 0.000 0.000 0.000
Mn 0.000 0.500 0.500
Mn 0.500 0.000 0.500
Mn 0.500 0.500 0.000
Re 0.000 0.000 0.500
Re 0.000 0.500 0.000
Re 0.500 0.000 0.000
Re 0.500 0.500 0.500
O 0.250 0.250 0.250
O 0.250 0.250 0.750
O 0.250 0.750 0.250
O 0.250 0.750 0.750
O 0.750 0.250 0.250
O 0.750 0.250 0.750
O 0.750 0.750 0.250
O 0.750 0.750 0.750
```

# 8
DFT (meta-GGA SCAN) results for a PBEsol-optimized structure of MnReO4. Values from VASP.

SG = P2/c
Crystal system = monoclinic

```
&SYSTEM
  ibrav = 0, nat = 12, ntyp = 3
/
ATOMIC_SPECIES
Mn 54.94 Mn.upf
Re 186.21 Re.upf
O 16.00 O.upf
CELL_PARAMETERS angstrom
4.519 0.000 0.000
0.000 5.449 0.000
-0.105 0.000 4.698
ATOMIC_POSITIONS crystal
Mn 0.000 0.122 0.250
Mn 0.000 0.878 0.750
Re 0.500 0.379 0.750
Re 0.500 0.621 0.250
O 0.237 0.128 0.584
O 0.237 0.872 0.084
O 0.241 0.361 0.092
O 0.241 0.639 0.592
O 0.759 0.361 0.408
O 0.759 0.639 0.908
O 0.763 0.128 0.916
O 0.763 0.872 0.416
```

# 9
DFT (meta-GGA SCAN) results for a PBEsol-optimized structure of Mn2RuRhO. Values from VASP.

SG = P4/mmm
Crystal system = tetragonal

```
&SYSTEM
  ibrav = 0, nat = 5, ntyp = 4
/
ATOMIC_SPECIES
Mn 54.94 Mn.upf
Ru 101.07 Ru.upf
Rh 102.91 Rh.upf
O 16.00 O.upf
CELL_PARAMETERS angstrom
4.687 0.000 0.000
0.000 4.687 0.000
0.000 0.000 4.458
ATOMIC_POSITIONS crystal
Mn 0.000 0.500 0.000
Mn 0.500 0.000 0.000
Ru 0.000 0.000 0.000
Rh 0.000 0.000 0.500
O 0.500 0.500 0.500
```

# 10
DFT (meta-GGA SCAN) results for a PBEsol-optimized structure of MnRuO3. Values from VASP.

SG = Pm-3m
Crystal system = cubic

```
&SYSTEM
  ibrav = 0, nat = 5, ntyp = 3
/
ATOMIC_SPECIES
Mn 54.94 Mn.upf
Ru 101.07 Ru.upf
O 16.00 O.upf
CELL_PARAMETERS angstrom
3.713 0.000 0.000
0.000 3.713 0.000
0.000 0.000 3.713
ATOMIC_POSITIONS crystal
Mn 0.000 0.000 0.000
Ru 0.500 0.500 0.500
O 0.000 0.000 0.500
O 0.000 0.500 0.000
O 0.500 0.000 0.000
```

# 11
DFT (meta-GGA SCAN) results for a PBEsol-optimized structure of Sr2MnRuO6. Values from VASP.

SG = I4/m
Crystal system = tetragonal

```
&SYSTEM
  ibrav = 0, nat = 10, ntyp = 4
/
ATOMIC_SPECIES
Sr 87.62 Sr.upf
Mn 54.94 Mn.upf
Ru 101.07 Ru.upf
O 16.00 O.upf
CELL_PARAMETERS angstrom
-2.703 2.703 3.911
2.703 -2.703 3.911
2.703 2.703 -3.911
ATOMIC_POSITIONS crystal
Sr 0.250 0.750 0.500
Sr 0.750 0.250 0.500
Mn 0.000 0.000 0.000
Ru 0.500 0.500 0.000
O 0.208 0.284 0.492
O 0.246 0.246 0.000
O 0.284 0.792 0.076
O 0.716 0.208 0.924
O 0.754 0.754 0.000
O 0.792 0.716 0.508
```

# 12
DFT (meta-GGA SCAN) results for a PBEsol-optimized structure of Sr4MnRuO8. Values from VASP.

SG = P4/mmm
Crystal system = tetragonal

```
&SYSTEM
  ibrav = 0, nat = 14, ntyp = 4
/
ATOMIC_SPECIES
Sr 87.62 Sr.upf
Mn 54.94 Mn.upf
Ru 101.07 Ru.upf
O 16.00 O.upf
CELL_PARAMETERS angstrom
3.811 0.000 0.000
0.000 3.811 0.000
0.000 0.000 12.554
ATOMIC_POSITIONS crystal
Sr 0.000 0.000 0.139
Sr 0.000 0.000 0.861
Sr 0.500 0.500 0.347
Sr 0.500 0.500 0.653
Mn 0.500 0.500 0.000
Ru 0.000 0.000 0.500
O 0.000 0.000 0.336
O 0.000 0.000 0.664
O 0.000 0.500 0.000
O 0.000 0.500 0.500
O 0.500 0.000 0.000
O 0.500 0.000 0.500
O 0.500 0.500 0.154
O 0.500 0.500 0.846
```

# 13
DFT (meta-GGA SCAN) results for a PBEsol-optimized structure of Sr4MnRuO8. Values from VASP.

SG = Cmmm
Crystal system = orthorhombic

```
&SYSTEM
  ibrav = 0, nat = 14, ntyp = 4
/
ATOMIC_SPECIES
Sr 87.62 Sr.upf
Mn 54.94 Mn.upf
Ru 101.07 Ru.upf
O 16.00 O.upf
CELL_PARAMETERS angstrom
2.726 -6.191 0.000
2.726 6.191 0.000
0.000 0.000 5.455
ATOMIC_POSITIONS crystal
Sr 0.142 0.858 0.000
Sr 0.356 0.644 0.500
Sr 0.644 0.356 0.500
Sr 0.858 0.142 0.000
Mn 0.000 0.000 0.500
Ru 0.500 0.500 0.000
O 0.156 0.844 0.500
O 0.246 0.246 0.255
O 0.246 0.246 0.745
O 0.339 0.661 0.000
O 0.661 0.339 0.000
O 0.754 0.754 0.255
O 0.754 0.754 0.745
O 0.844 0.156 0.500
```

# 14
DFT (meta-GGA SCAN) results for a PBEsol-optimized structure of MnZnRuO2. Values from VASP.

SG = P4/mmm
Crystal system = tetragonal

```
&SYSTEM
  ibrav = 0, nat = 5, ntyp = 4
/
ATOMIC_SPECIES
Mn 54.94 Mn.upf
Zn 65.41 Zn.upf
Ru 101.07 Ru.upf
O 16.00 O.upf
CELL_PARAMETERS angstrom
3.746 0.000 0.000
0.000 3.746 0.000
0.000 0.000 4.731
ATOMIC_POSITIONS crystal
Mn 0.000 0.000 0.000
Zn 0.000 0.000 0.500
Ru 0.500 0.500 0.000
O 0.000 0.500 0.500
O 0.500 0.000 0.500
```

# 15
DFT (meta-GGA SCAN) results for a PBEsol-optimized structure of MnS2O8. Values from VASP.

SG = R3
Crystal system = trigonal

```
&SYSTEM
  ibrav = 0, nat = 33, ntyp = 3
/
ATOMIC_SPECIES
Mn 54.94 Mn.upf
S 32.06 S.upf
O 16.00 O.upf
CELL_PARAMETERS angstrom
3.972 2.293 7.273
-3.972 2.293 7.273
0.000 -4.586 7.273
ATOMIC_POSITIONS crystal
Mn 0.000 0.000 0.000
Mn 0.200 0.200 0.200
Mn 0.692 0.692 0.692
S 0.089 0.394 0.799
S 0.307 0.881 0.593
S 0.394 0.799 0.089
S 0.593 0.307 0.881
S 0.799 0.089 0.394
S 0.881 0.593 0.307
O 0.095 0.457 0.220
O 0.133 0.366 0.962
O 0.134 0.183 0.825
O 0.172 0.868 0.809
O 0.183 0.825 0.134
O 0.209 0.486 0.598
O 0.220 0.095 0.457
O 0.326 0.727 0.559
O 0.366 0.962 0.133
O 0.457 0.220 0.095
O 0.486 0.598 0.209
O 0.512 0.871 0.550
O 0.513 0.852 0.863
O 0.550 0.512 0.871
O 0.559 0.326 0.727
O 0.598 0.209 0.486
O 0.727 0.559 0.326
O 0.809 0.172 0.868
O 0.825 0.134 0.183
O 0.852 0.863 0.513
O 0.863 0.513 0.852
O 0.868 0.809 0.172
O 0.871 0.550 0.512
O 0.962 0.133 0.366
```

# 16
DFT (meta-GGA SCAN) results for a PBEsol-optimized structure of Mn2SO. Values from VASP.

SG = I-42d
Crystal system = tetragonal

```
&SYSTEM
  ibrav = 0, nat = 16, ntyp = 3
/
ATOMIC_SPECIES
Mn 54.94 Mn.upf
S 32.06 S.upf
O 16.00 O.upf
CELL_PARAMETERS angstrom
5.089 0.000 0.000
0.000 5.089 0.000
0.000 0.000 10.017
ATOMIC_POSITIONS crystal
Mn 0.191 0.250 0.125
Mn 0.250 0.691 0.375
Mn 0.250 0.809 0.875
Mn 0.309 0.250 0.625
Mn 0.691 0.750 0.625
Mn 0.750 0.191 0.875
Mn 0.750 0.309 0.375
Mn 0.809 0.750 0.125
S 0.000 0.000 0.500
S 0.000 0.500 0.750
S 0.500 0.000 0.250
S 0.500 0.500 0.000
O 0.000 0.000 0.000
O 0.000 0.500 0.250
O 0.500 0.000 0.750
O 0.500 0.500 0.500
```

# 17
DFT (meta-GGA SCAN) results for a PBEsol-optimized structure of MnSO4. Values from VASP.

SG = Cmcm
Crystal system = orthorhombic

```
&SYSTEM
  ibrav = 0, nat = 12, ntyp = 3
/
ATOMIC_SPECIES
Mn 54.94 Mn.upf
S 32.06 S.upf
O 16.00 O.upf
CELL_PARAMETERS angstrom
2.634 -4.029 0.000
2.634 4.029 0.000
0.000 0.000 6.758
ATOMIC_POSITIONS crystal
Mn 0.000 0.000 0.000
Mn 0.000 0.000 0.500
S 0.351 0.649 0.750
S 0.649 0.351 0.250
O 0.228 0.308 0.750
O 0.251 0.749 0.569
O 0.251 0.749 0.931
O 0.308 0.228 0.250
O 0.692 0.772 0.750
O 0.749 0.251 0.069
O 0.749 0.251 0.431
O 0.772 0.692 0.250
```

# 18
DFT (meta-GGA SCAN) results for a PBEsol-optimized structure of MnSi2SO. Values from VASP.

SG = P4/mmm
Crystal system = tetragonal

```
&SYSTEM
  ibrav = 0, nat = 5, ntyp = 4
/
ATOMIC_SPECIES
Mn 54.94 Mn.upf
Si 28.09 Si.upf
S 32.06 S.upf
O 16.00 O.upf
CELL_PARAMETERS angstrom
4.640 0.000 0.000
0.000 4.640 0.000
0.000 0.000 3.337
ATOMIC_POSITIONS crystal
Mn 0.000 0.000 0.000
Si 0.000 0.500 0.500
Si 0.500 0.000 0.500
S 0.500 0.500 0.500
O 0.500 0.500 0.000
```

# 19
DFT (meta-GGA SCAN) results for a PBEsol-optimized structure of Mn2Sb2O7. Values from VASP.

SG = Fd-3m
Crystal system = cubic

```
&SYSTEM
  ibrav = 0, nat = 22, ntyp = 3
/
ATOMIC_SPECIES
Mn 54.94 Mn.upf
Sb 121.76 Sb.upf
O 16.00 O.upf
CELL_PARAMETERS angstrom
0.000 5.079 5.079
5.079 0.000 5.079
5.079 5.079 0.000
ATOMIC_POSITIONS crystal
Mn 0.000 0.000 0.000
Mn 0.000 0.000 0.500
Mn 0.000 0.500 0.000
Mn 0.500 0.000 0.000
Sb 0.000 0.500 0.500
Sb 0.500 0.000 0.500
Sb 0.500 0.500 0.000
Sb 0.500 0.500 0.500
O 0.125 0.125 0.125
O 0.170 0.170 0.580
O 0.170 0.580 0.170
O 0.170 0.580 0.580
O 0.420 0.420 0.830
O 0.420 0.830 0.420
O 0.420 0.830 0.830
O 0.580 0.170 0.170
O 0.580 0.170 0.580
O 0.580 0.580 0.170
O 0.830 0.420 0.420
O 0.830 0.420 0.830
O 0.830 0.830 0.420
O 0.875 0.875 0.875
```

# 20
DFT (meta-GGA SCAN) results for a PBEsol-optimized structure of MnSbO4. Values from VASP.

SG = P1
Crystal system = triclinic

```
&SYSTEM
  ibrav = 0, nat = 24, ntyp = 3
/
ATOMIC_SPECIES
Mn 54.94 Mn.upf
Sb 121.76 Sb.upf
O 16.00 O.upf
CELL_PARAMETERS angstrom
5.531 0.000 0.000
1.337 7.730 0.000
2.734 2.486 6.922
ATOMIC_POSITIONS crystal
Mn 0.000 0.000 0.000
Mn 0.238 0.495 0.249
Mn 0.488 0.994 0.498
Mn 0.752 0.499 0.750
Sb 0.187 0.373 0.936
Sb 0.434 0.871 0.186
Sb 0.678 0.371 0.438
Sb 0.929 0.873 0.688
O 0.010 0.603 0.801
O 0.172 0.772 0.133
O 0.194 0.977 0.732
O 0.231 0.892 0.447
O 0.260 0.103 0.051
O 0.420 0.268 0.385
O 0.438 0.476 0.995
O 0.488 0.393 0.698
O 0.499 0.600 0.302
O 0.674 0.765 0.638
O 0.685 0.974 0.245
O 0.737 0.893 0.948
O 0.749 0.099 0.552
O 0.927 0.270 0.885
O 0.943 0.475 0.482
O 0.982 0.393 0.197
```

Number 1: E_form (uncorrected) -11.98 eV/f.u.. Number 2: E_form (uncorrected) -28.31 eV/f.u.. Number 3: E_form (uncorrected) 4.05 eV/f.u.. Number 4: E_form (uncorrected) 1.37 eV/f.u.. Number 5: E_form (uncorrected) -19.43 eV/f.u.. Number 6: E_form (uncorrected) -18.54 eV/f.u.. Number 7: E_form (uncorrected) -0.94 eV/f.u.. Number 8: E_form (uncorrected) -10.85 eV/f.u.. Number 9: E_form (uncorrected) 5.92 eV/f.u.. Number 10: E_form (uncorrected) -4.38 eV/f.u.. Number 11: E_form (uncorrected) -23.66 eV/f.u.. Number 12: E_form (uncorrected) -36.46 eV/f.u.. Number 13: E_form (uncorrected) -36.44 eV/f.u.. Number 14: E_form (uncorrected) 2.39 eV/f.u.. Number 15: E_form (uncorrected) -17.03 eV/f.u.. Number 16: E_form (uncorrected) -5.73 eV/f.u.. Number 17: E_form (uncorrected) -11.03 eV/f.u.. Number 18: E_form (uncorrected) 1.86 eV/f.u.. Number 19: E_form (uncorrected) -18.80 eV/f.u.. Number 20: E_form (uncorrected) -10.36 eV/f.u..